1.
Crystalline EuGe3Ir at its relaxed geometry. Source: Alexandria via LeMat-Bulk, functional PBEsol.

## Properties
Space group: I4mm, No. 107
E_tot in eV/atom: -7.694
Energy of formation from the pure elements in kJ/mol of formula units: -315.3
Spin magnetization in μB/f.u.: 6.76
Theoretical density in kg/m3: 9686

Cell: 5.886 5.886 5.886 Å, 136.21 136.21 63.66°
Fractional positions:
Eu (0.000, 0.000, 0.000)
Ge (0.241, 0.741, 0.500)
Ge (0.584, 0.584, 0.000)
Ge (0.741, 0.241, 0.500)
Ir (0.346, 0.346, 0.000)

***

2.
Crystalline Li2EuGeS4 at its relaxed geometry. Source: Alexandria via LeMat-Bulk, functional PBEsol.

## Properties
Space group: I-42m, No. 121
E_tot in eV/atom: -5.878
Formation energy without anion corrections in eV per atom: -1.26
Spin magnetization in μB/f.u.: 7.00
Theoretical density in kg/m3: 3869

Cell: 5.918 5.918 5.918 Å, 113.48 113.48 101.73°
Fractional positions:
Li (0.250, 0.750, 0.500)
Li (0.750, 0.250, 0.500)
Eu (0.000, 0.000, 0.000)
Ge (0.500, 0.500, 0.000)
S (0.132, 0.531, 0.000)
S (0.469, 0.469, 0.601)
S (0.531, 0.132, 0.000)
S (0.868, 0.868, 0.399)

***

3.
Crystalline NaEuGeO4 at its relaxed geometry. Source: Alexandria via LeMat-Bulk, functional PBEsol.

## Properties
Space group: Pnma, No. 62
E_tot in eV/atom: -7.619
Formation energy without anion corrections in eV per atom: -2.20
Spin magnetization in μB/f.u.: 6.00
Theoretical density in kg/m3: 5146

Cell: 11.601 6.540 5.301 Å, 90.00 90.00 90.00°
Fractional positions:
Na (0.000, 0.000, 0.000)
Na (0.000, 0.500, 0.000)
Na (0.500, 0.000, 0.500)
Na (0.500, 0.500, 0.500)
Eu (0.223, 0.250, 0.499)
Eu (0.277, 0.750, 0.999)
Eu (0.723, 0.250, 0.001)
Eu (0.777, 0.750, 0.501)
Ge (0.094, 0.750, 0.557)
Ge (0.406, 0.250, 0.057)
Ge (0.594, 0.750, 0.943)
Ge (0.906, 0.250, 0.443)
O (0.046, 0.250, 0.318)
O (0.106, 0.750, 0.231)
O (0.169, 0.544, 0.710)
O (0.169, 0.956, 0.710)
O (0.331, 0.044, 0.210)
O (0.331, 0.456, 0.210)
O (0.394, 0.250, 0.731)
O (0.454, 0.750, 0.818)
O (0.546, 0.250, 0.182)
O (0.606, 0.750, 0.269)
O (0.669, 0.544, 0.790)
O (0.669, 0.956, 0.790)
O (0.831, 0.044, 0.290)
O (0.831, 0.456, 0.290)
O (0.894, 0.250, 0.769)
O (0.954, 0.750, 0.682)

***

4.
Crystalline Na3Eu2Ge2Se6 at its relaxed geometry. Source: Alexandria via LeMat-Bulk, functional PBEsol.

## Properties
Space group: C2/m, No. 12
E_tot in eV/atom: -5.562
Formation energy without anion corrections in eV per atom: -1.08
Spin magnetization in μB/f.u.: 13.83
Theoretical density in kg/m3: 4956

Cell: 7.181 7.181 7.814 Å, 98.80 98.80 119.96°
Fractional positions:
Na (0.000, 0.000, 0.000)
Na (0.328, 0.672, 0.000)
Na (0.672, 0.328, 0.000)
Eu (0.166, 0.834, 0.500)
Eu (0.834, 0.166, 0.500)
Ge (0.446, 0.446, 0.334)
Ge (0.554, 0.554, 0.666)
Se (0.083, 0.418, 0.252)
Se (0.249, 0.249, 0.752)
Se (0.418, 0.083, 0.252)
Se (0.582, 0.917, 0.748)
Se (0.751, 0.751, 0.248)
Se (0.917, 0.582, 0.748)

***

5.
Crystalline EuNi2Ge2 at its relaxed geometry. Source: Alexandria via LeMat-Bulk, functional PBEsol.

## Properties
Space group: I4/mmm, No. 139
E_tot in eV/atom: -7.191
Energy of formation from the pure elements in kJ/mol of formula units: -308.7
Spin magnetization in μB/f.u.: 6.93
Theoretical density in kg/m3: 8423

Cell: 5.725 5.725 5.725 Å, 138.44 138.44 60.23°
Fractional positions:
Eu (0.000, 0.000, 0.000)
Ni (0.250, 0.750, 0.500)
Ni (0.750, 0.250, 0.500)
Ge (0.367, 0.367, 0.000)
Ge (0.633, 0.633, 0.000)

***

6.
Crystalline EuNiGe2 at its relaxed geometry. Source: Alexandria via LeMat-Bulk, functional PBEsol.

## Properties
Space group: Cmcm, No. 63
E_tot in eV/atom: -7.344
Energy of formation from the pure elements in kJ/mol of formula units: -267.8
Spin magnetization in μB/f.u.: 6.79
Theoretical density in kg/m3: 8142

Cell: 8.599 8.599 4.137 Å, 90.00 90.00 151.66°
Fractional positions:
Eu (0.108, 0.892, 0.750)
Eu (0.892, 0.108, 0.250)
Ni (0.319, 0.681, 0.750)
Ni (0.681, 0.319, 0.250)
Ge (0.250, 0.750, 0.250)
Ge (0.457, 0.543, 0.750)
Ge (0.543, 0.457, 0.250)
Ge (0.750, 0.250, 0.750)

***

7.
Crystalline EuNiGe3 at its relaxed geometry. Source: Alexandria via LeMat-Bulk, functional PBEsol.

## Properties
Space group: I4mm, No. 107
E_tot in eV/atom: -6.915
Energy of formation from the pure elements in kJ/mol of formula units: -293.1
Spin magnetization in μB/f.u.: 6.76
Theoretical density in kg/m3: 7977

Cell: 5.728 5.728 5.728 Å, 136.08 136.08 63.86°
Fractional positions:
Eu (0.000, 0.000, 0.000)
Ni (0.343, 0.343, 0.000)
Ge (0.245, 0.745, 0.500)
Ge (0.579, 0.579, 0.000)
Ge (0.745, 0.245, 0.500)

***

8.
Crystalline EuSiNi2Ge at its relaxed geometry. Source: Alexandria via LeMat-Bulk, functional PBEsol.

## Properties
Space group: I4mm, No. 107
E_tot in eV/atom: -7.408
Formation energy without anion corrections in eV per atom: -0.70
Spin magnetization in μB/f.u.: 6.91
Theoretical density in kg/m3: 7803

Cell: 5.649 5.649 5.649 Å, 138.36 138.36 60.35°
Fractional positions:
Eu (0.000, 0.000, 0.000)
Si (0.634, 0.634, 0.000)
Ni (0.245, 0.745, 0.500)
Ni (0.745, 0.245, 0.500)
Ge (0.371, 0.371, 0.000)

***

9.
Crystalline EuGe3Pd at its relaxed geometry. Source: Alexandria via LeMat-Bulk, functional PBEsol.

## Properties
Space group: I4mm, No. 107
E_tot in eV/atom: -6.922
Energy of formation from the pure elements in kJ/mol of formula units: -315.5
Spin magnetization in μB/f.u.: 6.82
Theoretical density in kg/m3: 8107

Cell: 5.892 5.892 5.892 Å, 135.94 135.94 64.07°
Fractional positions:
Eu (0.000, 0.000, 0.000)
Ge (0.259, 0.759, 0.500)
Ge (0.407, 0.407, 0.000)
Ge (0.759, 0.259, 0.500)
Pd (0.649, 0.649, 0.000)

***

10.
Crystalline EuGePd at its relaxed geometry. Source: Alexandria via LeMat-Bulk, functional PBEsol.

## Properties
Space group: P2_1/c, No. 14
E_tot in eV/atom: -7.978
Energy of formation from the pure elements in kJ/mol of formula units: -238.7
Spin magnetization in μB/f.u.: 6.93
Theoretical density in kg/m3: 8802

Cell: 6.002 5.828 7.945 Å, 90.00 116.01 90.00°
Fractional positions:
Eu (0.205, 0.135, 0.378)
Eu (0.205, 0.365, 0.878)
Eu (0.795, 0.635, 0.122)
Eu (0.795, 0.865, 0.622)
Ge (0.218, 0.639, 0.542)
Ge (0.218, 0.861, 0.042)
Ge (0.782, 0.139, 0.958)
Ge (0.782, 0.361, 0.458)
Pd (0.396, 0.602, 0.311)
Pd (0.396, 0.898, 0.811)
Pd (0.604, 0.102, 0.189)
Pd (0.604, 0.398, 0.689)

***

11.
Crystalline EuGe2Pt2 at its relaxed geometry. Source: Alexandria via LeMat-Bulk, functional PBEsol.

## Properties
Space group: P2_1/m, No. 11
E_tot in eV/atom: -7.748
Energy of formation from the pure elements in kJ/mol of formula units: -421.7
Spin magnetization in μB/f.u.: 6.86
Theoretical density in kg/m3: 12186

Cell: 4.331 4.330 9.991 Å, 90.00 90.04 90.00°
Fractional positions:
Eu (0.249, 0.250, 0.254)
Eu (0.751, 0.750, 0.746)
Ge (0.250, 0.750, 0.500)
Ge (0.252, 0.250, 0.870)
Ge (0.748, 0.750, 0.130)
Ge (0.750, 0.250, 0.500)
Pt (0.248, 0.750, 0.000)
Pt (0.250, 0.250, 0.625)
Pt (0.750, 0.750, 0.375)
Pt (0.752, 0.250, 0.000)

***

12.
Crystalline EuGePt at its relaxed geometry. Source: Alexandria via LeMat-Bulk, functional PBEsol.

## Properties
Space group: P2_13, No. 198
E_tot in eV/atom: -8.404
Energy of formation from the pure elements in kJ/mol of formula units: -264.8
Spin magnetization in μB/f.u.: 6.93
Theoretical density in kg/m3: 10294

Cell: 6.470 6.470 6.470 Å, 90.00 90.00 90.00°
Fractional positions:
Eu (0.122, 0.122, 0.122)
Eu (0.378, 0.878, 0.622)
Eu (0.622, 0.378, 0.878)
Eu (0.878, 0.622, 0.378)
Ge (0.176, 0.324, 0.676)
Ge (0.324, 0.676, 0.176)
Ge (0.676, 0.176, 0.324)
Ge (0.824, 0.824, 0.824)
Pt (0.074, 0.574, 0.926)
Pt (0.426, 0.426, 0.426)
Pt (0.574, 0.926, 0.074)
Pt (0.926, 0.074, 0.574)